! Pa2CuW, optimized geometry, DFT PBE; values from VASP
&SYSTEM
  ibrav = 0, nat = 4, ntyp = 3
/
ATOMIC_SPECIES
Pa 231.04 Pa.upf
Cu 63.55 Cu.upf
W 183.84 W.upf
CELL_PARAMETERS angstrom
1.489 0.859 10.870
-1.489 0.859 10.870
0.000 -1.719 10.870
ATOMIC_POSITIONS crystal
Pa 0.087 0.087 0.087
Pa 0.913 0.913 0.913
Cu 0.000 0.000 0.000
W 0.500 0.500 0.500
! Total energy: -33.7 eV for the cell shown
! E_form: 0.582 eV/atom
! V: 20.858 Å³/atom
! Crystal system: trigonal